{
  "formula": "BaAlHg",
  "functional": "PBE",
  "state": "relaxed",
  "lattice": [[5.4982, 0.0000, 0.0000], [2.7491, 4.7616, 0.0000], [2.7491, 1.5872, 4.4893]],
  "species": ["Ba", "Al", "Hg"],
  "fractional_positions": [[0.7500, 0.7500, 0.7500], [0.5000, 0.5000, 0.5000], [0.0000, 0.0000, 0.0000]],
  "sg": "No. 216",
  "dos_at_fermi_per_ev_fu": 3.34,
  "total_magnetization_mub_per_cell": 0.00,
  "formation_energy_ev_per_fu": 0.79,
  "e_tot_ev_per_cell": -5.2
}